# Nd3PbS2

A relaxed structure of Nd3PbS2 (PBE, the Alexandria database).

As for the total DFT energy (no corrections): -5.68 eV/atom. The spin magnetization comes out at 0.00 μB per atom.

The space group is Cmcm (No. 63) and the conventional cell measures 4.880, 13.621 and 9.980 Å, with angles of 90.00, 90.00 and 90.00 degrees. The distinct sites, in fractional coordinates, are Nd at (0.000, 0.101, 0.250), Nd at (0.000, 0.371, 0.052), Pb at (0.000, 0.225, 0.750), S at (0.000, 0.000, 0.000) and S at (0.000, 0.482, 0.750).

=====

# Ba2ZrTi

A relaxed structure of Ba2ZrTi (PBE, the Alexandria database).

As for the total DFT energy (no corrections): -3.95 eV/atom. The energy above the most stable polymorph in this dataset is 0.50 eV per formula unit. The spin magnetization comes out at 0.89 μB per atom. The formation energy is 1121.4 meV per atom.

The space group is I-42d (No. 122) and the conventional cell measures 9.253, 9.253 and 6.558 Å, with angles of 90.00, 90.00 and 90.00 degrees. The distinct sites, in fractional coordinates, are Ba at (0.239, 0.250, 0.125), Zr at (0.000, 0.000, 0.500) and Ti at (0.000, 0.000, 0.000).

=====

# NaLa2Ga2

A relaxed structure of NaLa2Ga2 (PBE, the Alexandria database).

As for the total DFT energy (no corrections): -3.49 eV/atom. The energy above the most stable polymorph in this dataset is 1.62 eV per formula unit. The spin magnetization comes out at 0.00 μB per atom. The formation energy is -40.6 meV per atom.

The space group is I4/mmm (No. 139) and the conventional cell measures 3.700, 3.700 and 22.701 Å, with angles of 90.00, 90.00 and 90.00 degrees. The distinct sites, in fractional coordinates, are Na at (0.000, 0.000, 0.000), La at (0.000, 0.000, 0.368) and Ga at (0.000, 0.500, 0.250).

=====

# Pr4Y5Ho

A relaxed structure of Pr4Y5Ho (PBE, the Alexandria database).

As for the total DFT energy (no corrections): -5.41 eV/atom. The energy above the most stable polymorph in this dataset is 1.68 eV per formula unit. The spin magnetization comes out at 0.00 μB per atom. The formation energy is 187.2 meV per atom.

The space group is P-1 (No. 2) and the conventional cell measures 3.564, 8.883 and 11.306 Å, with angles of 90.16, 90.00 and 101.54 degrees. The distinct sites, in fractional coordinates, are Pr at (0.031, 0.061, 0.249), Pr at (0.345, 0.688, 0.250), Y at (0.173, 0.347, 0.053), Y at (0.173, 0.348, 0.445), Y at (0.500, 0.000, 0.500) and Ho at (0.500, 0.000, 0.000).

=====

# CuAsP

A relaxed structure of CuAsP (PBE, the Alexandria database).

As for the total DFT energy (no corrections): -4.36 eV/atom. The energy above the most stable polymorph in this dataset is 0.95 eV per formula unit. The spin magnetization comes out at 0.00 μB per atom. The formation energy is 354.0 meV per atom.

The space group is P3m1 (No. 156) and the conventional cell measures 2.8138, 2.8138 and 7.4186 Å, with angles of 90.00, 90.00 and 120.00 degrees. The distinct sites, in fractional coordinates, are Cu at (0.0000, 0.0000, 0.0000), As at (0.3333, 0.6667, 0.7165) and P at (0.6667, 0.3333, 0.2484).

=====

# Mn2BeSi2

A relaxed structure of Mn2BeSi2 (PBE, the Alexandria database).

As for the total DFT energy (no corrections): -6.72 eV/atom. The energy above the most stable polymorph in this dataset is 0.03 eV per formula unit. The spin magnetization comes out at 0.06 μB per atom.

The space group is P4/mbm (No. 127) and the conventional cell measures 6.106, 6.106 and 3.046 Å, with angles of 90.00, 90.00 and 90.00 degrees. The distinct sites, in fractional coordinates, are Mn at (0.153, 0.347, 0.000), Be at (0.000, 0.000, 0.000) and Si at (0.147, 0.647, 0.500).

=====

What is the spin magnetization in the second record?
0.89 μB per atom

=====

Copy entry 5 word for word.
# CuAsP

A relaxed structure of CuAsP (PBE, the Alexandria database).

As for the total DFT energy (no corrections): -4.36 eV/atom. The energy above the most stable polymorph in this dataset is 0.95 eV per formula unit. The spin magnetization comes out at 0.00 μB per atom. The formation energy is 354.0 meV per atom.

The space group is P3m1 (No. 156) and the conventional cell measures 2.8138, 2.8138 and 7.4186 Å, with angles of 90.00, 90.00 and 120.00 degrees. The distinct sites, in fractional coordinates, are Cu at (0.0000, 0.0000, 0.0000), As at (0.3333, 0.6667, 0.7165) and P at (0.6667, 0.3333, 0.2484).

=====

total DFT energy (no corrections) of number 6 (Mn2BeSi2)?
-6.72 eV/atom